Below is an optimized crystal structure of CrW2O8, with properties calculated at the PBE with a Hubbard U level.

Values from the calculation:
**Total magnetization**: 4.00 μB/cell
**Polymorph energy (0 for the lowest one)**: 0.0 kJ/mol of formula units

```
CrW2O8
1.0
5.7880 0.0000 0.0000
0.0000 5.0388 0.0054
0.0000 4.9604 9.2094
Cr W O
2 4 16
direct
0.6477 0.5000 0.2500
0.3523 0.5000 0.7500
0.8322 0.2654 0.9937
0.8322 0.7346 0.5063
0.1678 0.7346 0.0063
0.1678 0.2654 0.4937
0.6590 0.7104 0.3611
0.6590 0.2896 0.1389
0.3410 0.2896 0.6389
0.3410 0.7104 0.8611
0.1116 0.1899 0.8910
0.1116 0.8101 0.6090
0.8884 0.8101 0.1090
0.8884 0.1899 0.3910
0.4030 0.2531 0.3798
0.4030 0.7469 0.1202
0.5970 0.7469 0.6202
0.5970 0.2531 0.8798
0.1082 0.6778 0.3869
0.8918 0.3222 0.6131
0.1082 0.3222 0.1131
0.8918 0.6778 0.8869
```